The following is a PBE calculation of a geometry-optimized TlOsIO2 structure, from Alexandria.

```
TlOsIO2
1.0
4.078 0.000 0.000
0.000 4.078 0.000
0.000 0.000 5.889
Tl Os I O
1 1 1 2
Cartesian
0.000 0.000 0.000
2.039 2.039 2.944
2.039 2.039 0.000
0.000 2.039 2.944
2.039 0.000 2.944
```

distance to the lowest polymorph of the same formula = 0 meV/atom
raw formation energy = -0.055 eV per atom
total DFT energy (no corrections) = -5.067 eV/atom

The following is a PBE calculation of a geometry-optimized TbTiSe3 structure, from Alexandria.

```
TbTiSe3
1.0
8.242 0.000 0.000
0.000 3.834 0.000
0.000 0.000 13.757
Tb Ti Se
4 4 12
Cartesian
0.712 0.959 2.352
3.409 2.876 9.230
4.833 0.959 4.526
7.531 2.876 11.405
1.186 2.876 6.290
2.935 0.959 13.168
5.308 2.876 0.588
7.056 0.959 7.467
0.182 2.876 8.556
1.278 2.876 0.162
1.608 0.959 10.887
2.513 2.876 4.009
2.843 0.959 7.040
3.939 0.959 1.677
4.304 2.876 12.080
5.399 2.876 6.717
5.730 0.959 9.748
6.634 2.876 2.870
6.964 0.959 13.595
8.060 0.959 5.201
```

raw formation energy = -1.450 eV per atom
total DFT energy (no corrections) = -6.046 eV/atom

The following is a PBE calculation of a geometry-optimized Li7Cd3Ge structure, from Alexandria.

```
Li7Cd3Ge
1.0
1.435 -9.066 0.000
1.435 9.066 0.000
0.000 0.000 15.925
Li Cd Ge
14 6 2
Cartesian
1.435 8.664 9.604
1.435 8.664 14.283
1.435 7.040 2.699
1.435 7.040 5.264
1.435 6.960 11.944
1.435 4.388 1.469
1.435 4.388 6.493
1.435 -4.388 9.432
1.435 -4.388 14.456
1.435 -6.960 3.981
1.435 -7.040 10.661
1.435 -7.040 13.226
1.435 -8.664 1.642
1.435 -8.664 6.321
1.435 4.189 11.944
1.435 2.175 8.204
1.435 2.175 15.683
1.435 -2.175 0.242
1.435 -2.175 7.721
1.435 -4.189 3.981
1.435 0.154 11.944
1.435 -0.154 3.981
```

E_form = -0.19 eV per atom
total DFT energy (no corrections) = -2.076 eV/atom